1.
Here is a relaxed structure of Rb2AsPd2 from Alexandria via LeMat-Bulk. Energies are from PBE-GGA.

Unit cell a=6.7126 b=6.7126 c=5.7159 alpha=90.00 beta=90.00 gamma=90.00
Fractional coordinates of all 10 atoms:
Pd (0.8473, 0.6527, 0.0000)
Pd (0.6527, 0.1527, 0.0000)
Pd (0.1527, 0.3473, 0.0000)
Pd (0.3473, 0.8473, 0.0000)
Rb (0.1784, 0.6784, 0.5000)
Rb (0.6784, 0.8216, 0.5000)
Rb (0.8216, 0.3216, 0.5000)
Rb (0.3216, 0.1784, 0.5000)
As (0.5000, 0.5000, 0.0000)
As (0.0000, 0.0000, 0.0000)

Calculated values
ΔH_f (0 K): -0.128 eV per atom
Density: 5.91 g cm⁻³
Calculated volume: 257.6 Å³/cell
Fermi-level density of states: 0.4634 states/eV/atom
Energy relative to the lowest polymorph listed for this composition: 0.0127 eV per atom
M_tot: 0.0000 μB per atom
Raw total energy: -3.522 eV per atom

***

2.
Here is a relaxed structure of InSb2Au from Alexandria via LeMat-Bulk. Energies are from PBE-GGA.

Unit cell a=5.4942 b=5.4942 c=3.2729 alpha=90.00 beta=90.00 gamma=89.80
Fractional coordinates of all 4 atoms:
In (0.0000, 0.5000, 0.5000)
Sb (0.5000, 0.5000, 0.0000)
Sb (0.0000, 0.0000, 0.0000)
Au (0.5000, 0.0000, 0.5000)

Calculated values
Density: 9.33 g cm⁻³
Calculated volume: 98.8 Å³/cell
Fermi-level density of states: 0.3214 states/eV/atom
M_tot: 0.0000 μB per atom
Raw total energy: -3.416 eV per atom
Formation energy (no corrections): 0.1492 eV per atom

***

3.
Here is a relaxed structure of TbPm5NdTm2 from Alexandria via LeMat-Bulk. Energies are from PBE-GGA.

Unit cell a=5.6482 b=10.5208 c=10.7254 alpha=90.00 beta=90.00 gamma=105.57
Fractional coordinates of all 18 atoms:
Pm (0.7181, 0.4362, 0.8080)
Pm (0.9832, 0.9665, 0.5235)
Pm (0.3921, 0.7842, 0.0257)
Pm (0.4786, 0.9572, 0.7413)
Pm (0.0168, 0.0335, 0.0235)
Pm (0.7029, 0.4059, 0.2040)
Pm (0.2819, 0.5638, 0.3080)
Pm (0.5214, 0.0428, 0.2413)
Pm (0.2971, 0.5941, 0.7040)
Pm (0.6079, 0.2158, 0.5257)
Tb (0.5878, 0.1756, 0.9551)
Tb (0.4122, 0.8244, 0.4551)
Tm (0.1098, 0.2195, 0.7385)
Tm (0.8902, 0.7805, 0.2385)
Tm (0.1163, 0.2327, 0.3185)
Tm (0.8837, 0.7673, 0.8185)
Nd (0.2015, 0.4031, 0.0095)
Nd (0.7985, 0.5969, 0.5095)

Calculated values
ΔH_f (0 K): 0.149 eV per atom
Density: 7.39 g cm⁻³
Calculated volume: 614.0 Å³/cell
Fermi-level density of states: 1.5622 states/eV/atom
M_tot: 0.0000 μB per atom
Raw total energy: -4.528 eV per atom

***

4.
Here is a relaxed structure of CaSm2Cl from Alexandria via LeMat-Bulk. Energies are from PBE-GGA.

Unit cell a=3.5532 b=3.5532 c=11.5502 alpha=81.15 beta=81.15 gamma=60.00
Fractional coordinates of all 4 atoms:
Cl (0.5000, 0.5000, 0.5000)
Sm (0.8990, 0.8990, 0.3030)
Sm (0.1010, 0.1010, 0.6970)
Ca (0.0000, 0.0000, 0.0000)

Calculated values
Density: 5.03 g cm⁻³
Calculated volume: 124.3 Å³/cell
Fermi-level density of states: 1.4611 states/eV/atom
M_tot: 0.0002 μB per atom
Raw total energy: -3.787 eV per atom
Formation energy (no corrections): -0.4650 eV per atom

***

5.
Here is a relaxed structure of MnAu2Cl from Alexandria via LeMat-Bulk. Energies are from PBE-GGA.

Unit cell a=8.4926 b=8.4926 c=6.4827 alpha=49.08 beta=49.08 gamma=90.00
Fractional coordinates of all 8 atoms:
Cl (0.5000, 0.5000, 0.0000)
Cl (0.2500, 0.7500, 0.5000)
Au (0.8750, 0.9424, 0.7500)
Au (0.3750, 0.3076, 0.7500)
Au (0.6924, 0.1250, 0.2500)
Au (0.0576, 0.6250, 0.2500)
Mn (0.7500, 0.2500, 0.5000)
Mn (0.0000, 0.0000, 0.0000)

Calculated values
Density: 9.13 g cm⁻³
Calculated volume: 176.1 Å³/cell
Fermi-level density of states: 0.2366 states/eV/atom
Energy relative to the lowest polymorph listed for this composition: 0.2711 eV per atom
M_tot: 1.0384 μB per atom
Raw total energy: -4.285 eV per atom
Formation energy (no corrections): 0.1082 eV per atom

***

6.
Here is a relaxed structure of Dy6BiAs3P2 from Alexandria via LeMat-Bulk. Energies are from PBE-GGA.

Unit cell a=4.1261 b=8.3198 c=9.2456 alpha=102.64 beta=102.89 gamma=90.00
Fractional coordinates of all 12 atoms:
Dy (0.3252, 0.9053, 0.6505)
Dy (0.6698, 0.5798, 0.3396)
Dy (0.3302, 0.4202, 0.6604)
Dy (0.9959, 0.7306, 0.9918)
Dy (0.0041, 0.2694, 0.0082)
Dy (0.6748, 0.0947, 0.3495)
P (0.1683, 0.3363, 0.3365)
P (0.8317, 0.6637, 0.6635)
Bi (0.5000, 0.0000, 0.0000)
As (0.1640, 0.8316, 0.3280)
As (0.5000, 0.5000, 0.0000)
As (0.8360, 0.1684, 0.6720)

Calculated values
ΔH_f (0 K): -1.410 eV per atom
Density: 8.10 g cm⁻³
Calculated volume: 301.5 Å³/cell
Fermi-level density of states: 0.1406 states/eV/atom
M_tot: 0.0000 μB per atom
Raw total energy: -6.099 eV per atom

***

7.
Here is a relaxed structure of SrPdOF2 from Alexandria via LeMat-Bulk. Energies are from PBE-GGA.

Unit cell a=4.5994 b=4.5994 c=4.9108 alpha=90.00 beta=90.00 gamma=90.00
Fractional coordinates of all 5 atoms:
O (0.0000, 0.0000, 0.5000)
Sr (0.0000, 0.0000, 0.0000)
F (0.0000, 0.5000, 0.0000)
F (0.5000, 0.0000, 0.0000)
Pd (0.5000, 0.5000, 0.5000)

Calculated values
Density: 3.96 g cm⁻³
Calculated volume: 103.9 Å³/cell
Fermi-level density of states: 1.0239 states/eV/atom
Energy relative to the lowest polymorph listed for this composition: 0.5635 eV per atom
M_tot: 0.4000 μB per atom
Raw total energy: -4.434 eV per atom
Formation energy (no corrections): -1.3188 eV per atom

***

8.
Here is a relaxed structure of FeNi from Alexandria via LeMat-Bulk. Energies are from PBE-GGA.

Unit cell a=6.3991 b=6.3991 c=6.3991 alpha=90.00 beta=90.00 gamma=90.00
Fractional coordinates of all 12 atoms:
Fe (0.5000, 0.0000, 0.7500)
Fe (0.7500, 0.5000, 0.0000)
Fe (0.5000, 0.0000, 0.2500)
Fe (0.2500, 0.5000, 0.0000)
Fe (0.0000, 0.2500, 0.5000)
Fe (0.0000, 0.7500, 0.5000)
Ni (0.0000, 0.5000, 0.7500)
Ni (0.0000, 0.5000, 0.2500)
Ni (0.5000, 0.2500, 0.0000)
Ni (0.7500, 0.0000, 0.5000)
Ni (0.5000, 0.7500, 0.0000)
Ni (0.2500, 0.0000, 0.5000)

Calculated values
ΔH_f (0 K): 1.370 eV per atom
Density: 4.36 g cm⁻³
Calculated volume: 262.0 Å³/cell
Fermi-level density of states: 1.2379 states/eV/atom
M_tot: 1.8554 μB per atom
Raw total energy: -5.752 eV per atom

***

Which formula does entry 2 have? InSb2Au